Entry from the Alexandria database: crystalline Pr3HoIr8 at its relaxed geometry (PBE).

The structure in CIF format:
```
data_Pr3HoIr8
_space_group_name_H-M_alt 'P 1'
_space_group_IT_number 1
_cell_length_a 9.408
_cell_length_b 9.408
_cell_length_c 9.408
_cell_angle_alpha 33.58
_cell_angle_beta 33.58
_cell_angle_gamma 33.58
loop_
_space_group_symop_operation_xyz
'x,y,z'
loop_
_atom_site_label
_atom_site_type_symbol
_atom_site_fract_x
_atom_site_fract_y
_atom_site_fract_z
Pr1 Pr 0.000 0.000 0.000
Pr2 Pr 0.125 0.125 0.125
Pr3 Pr 0.501 0.501 0.501
Ho1 Ho 0.626 0.626 0.626
Ir1 Ir 0.060 0.562 0.562
Ir2 Ir 0.063 0.063 0.565
Ir3 Ir 0.063 0.565 0.063
Ir4 Ir 0.313 0.313 0.313
Ir5 Ir 0.562 0.060 0.562
Ir6 Ir 0.562 0.562 0.060
Ir7 Ir 0.565 0.063 0.063
Ir8 Ir 0.813 0.813 0.813
```

Calculated values
Space-group type: R3m, No. 160
Energy relative to the elements: -8.4 eV per formula unit
Total moment: 0.000 μB per atom